A relaxed KAl2Zn crystal. Source: Alexandria, functional PBE-GGA.

```
data_KAl2Zn
_cell_length_a 5.267
_cell_length_b 5.267
_cell_length_c 17.818
_cell_angle_alpha 90.00
_cell_angle_beta 90.00
_cell_angle_gamma 90.00
_space_group_name_H-M_alt 'I 41/a m d'
_space_group_IT_number 141
loop_
_space_group_symop_operation_xyz
'x,y,z'
'-x,-y,-z'
'-y+1/4,x+3/4,z+1/4'
'y+1/4,-x+3/4,-z+1/4'
'-x+1/2,-y,z+1/2'
'x+1/2,y,-z+1/2'
'y+1/4,-x+1/4,z+3/4'
'-y+1/4,x+1/4,-z+3/4'
'x,-y,-z'
'-x,y,z'
'-y+1/4,-x+1/4,-z+3/4'
'y+1/4,x+1/4,z+3/4'
'-x+1/2,y,-z+1/2'
'x+1/2,-y,z+1/2'
'y+1/4,x+3/4,-z+1/4'
'-y+1/4,-x+3/4,z+1/4'
'x+1/2,y+1/2,z+1/2'
'-x+1/2,-y+1/2,-z+1/2'
'-y+3/4,x+1/4,z+3/4'
'y+3/4,-x+1/4,-z+3/4'
'-x,-y+1/2,z'
'x,y+1/2,-z'
'y+3/4,-x+3/4,z+1/4'
'-y+3/4,x+3/4,-z+1/4'
'x+1/2,-y+1/2,-z+1/2'
'-x+1/2,y+1/2,z+1/2'
'-y+3/4,-x+3/4,-z+1/4'
'y+3/4,x+3/4,z+1/4'
'-x,y+1/2,-z'
'x,-y+1/2,z'
'y+3/4,x+1/4,-z+3/4'
'-y+3/4,-x+1/4,z+3/4'
loop_
_atom_site_label
_atom_site_fract_x
_atom_site_fract_y
_atom_site_fract_z
_atom_site_occupancy
K1 0.000 0.250 0.375 1
Al1 0.000 0.000 0.000 1
Zn1 0.000 0.250 0.875 1
```

total magnetization: 0.00 μB/atom
uncorrected energy: -2.156 eV per atom

A relaxed KAl2Zn crystal. Source: Alexandria, functional PBE-GGA.

```
data_KAl2Zn
_cell_length_a 6.075
_cell_length_b 10.712
_cell_length_c 2.817
_cell_angle_alpha 90.00
_cell_angle_beta 90.00
_cell_angle_gamma 90.00
_space_group_name_H-M_alt 'C m m m'
_space_group_IT_number 65
_space_group_name_Hall '-C 2 2'
loop_
_atom_site_label
_atom_site_fract_x
_atom_site_fract_y
_atom_site_fract_z
_atom_site_occupancy
K1 0.000 0.000 0.000 1
Al1 0.250 0.250 0.500 1
Zn1 0.000 0.500 0.000 1
```

total magnetization: 0.00 μB/atom
uncorrected energy: -2.027 eV per atom

A relaxed K2Al2Zn crystal. Source: Alexandria, functional PBE-GGA.

```
data_K2Al2Zn
_cell_length_a 3.843
_cell_length_b 3.843
_cell_length_c 22.426
_cell_angle_alpha 90.00
_cell_angle_beta 90.00
_cell_angle_gamma 90.00
_space_group_name_H-M_alt 'I 4/m m m'
_space_group_IT_number 139
_space_group_name_Hall '-I 4 2'
loop_
_atom_site_label
_atom_site_fract_x
_atom_site_fract_y
_atom_site_fract_z
_atom_site_occupancy
K1 0.000 0.000 0.108 1
Al1 0.000 0.500 0.250 1
Zn1 0.000 0.000 0.500 1
```

total magnetization: 0.00 μB/atom
uncorrected energy: -1.912 eV per atom

A relaxed K2AlZn crystal. Source: Alexandria, functional PBE-GGA.

```
data_K2AlZn
_cell_length_a 8.330
_cell_length_b 8.330
_cell_length_c 8.330
_cell_angle_alpha 90.00
_cell_angle_beta 90.00
_cell_angle_gamma 90.00
_space_group_name_H-M_alt 'F m -3 m'
_space_group_IT_number 225
_space_group_name_Hall '-F 4 2 3'
loop_
_atom_site_label
_atom_site_fract_x
_atom_site_fract_y
_atom_site_fract_z
_atom_site_occupancy
K1 0.250 0.250 0.250 1
Al1 0.000 0.000 0.000 1
Zn1 0.000 0.000 0.500 1
```

total magnetization: 0.23 μB/atom
uncorrected energy: -1.376 eV per atom

A relaxed KAl2Zn crystal. Source: Alexandria, functional PBE-GGA.

```
data_KAl2Zn
_cell_length_a 3.336
_cell_length_b 3.336
_cell_length_c 8.322
_cell_angle_alpha 90.00
_cell_angle_beta 90.00
_cell_angle_gamma 90.00
_space_group_name_H-M_alt 'P 4 m m'
_space_group_IT_number 99
_space_group_name_Hall 'P 4 -2'
loop_
_atom_site_label
_atom_site_fract_x
_atom_site_fract_y
_atom_site_fract_z
_atom_site_occupancy
K1 0.000 0.000 0.000 1
Al1 0.000 0.000 0.479 1
Al2 0.500 0.500 0.672 1
Zn1 0.500 0.500 0.312 1
```

total magnetization: 0.00 μB/atom
uncorrected energy: -2.282 eV per atom

A relaxed KZrAl crystal. Source: Alexandria, functional PBE-GGA.

```
data_KZrAl
_cell_length_a 5.3894
_cell_length_b 5.3894
_cell_length_c 3.1292
_cell_angle_alpha 90.00
_cell_angle_beta 90.00
_cell_angle_gamma 120.00
_space_group_name_H-M_alt 'P -6 m 2'
_space_group_IT_number 187
_space_group_name_Hall 'P -6 2'
loop_
_atom_site_label
_atom_site_fract_x
_atom_site_fract_y
_atom_site_fract_z
_atom_site_occupancy
K1 0.0000 0.0000 0.0000 1
Zr1 0.6667 0.3333 0.5000 1
Al1 0.3333 0.6667 0.5000 1
```

total magnetization: 0.00 μB/atom
uncorrected energy: -3.752 eV per atom